Density functional theory data (PBE) for La5In2AgIr2 after structural relaxation. Values from VASP.

```
&SYSTEM
  ibrav = 0, nat = 20, ntyp = 4
/
ATOMIC_SPECIES
La 138.91 La.upf
In 114.82 In.upf
Ag 107.87 Ag.upf
Ir 192.22 Ir.upf
CELL_PARAMETERS angstrom
12.2665 0.0000 0.0000
0.0000 12.2665 0.0000
0.0000 0.0000 3.8536
ATOMIC_POSITIONS crystal
La 0.0000 0.5000 0.0000
La 0.0678 0.2084 0.0000
La 0.2084 0.9322 0.0000
La 0.2916 0.4322 0.0000
La 0.4322 0.7084 0.0000
La 0.5000 0.0000 0.0000
La 0.5678 0.2916 0.0000
La 0.7084 0.5678 0.0000
La 0.7916 0.0678 0.0000
La 0.9322 0.7916 0.0000
In 0.1830 0.6830 0.5000
In 0.3170 0.1830 0.5000
In 0.6830 0.8170 0.5000
In 0.8170 0.3170 0.5000
Ag 0.0000 0.0000 0.5000
Ag 0.5000 0.5000 0.5000
Ir 0.1361 0.3639 0.5000
Ir 0.3639 0.8639 0.5000
Ir 0.6361 0.1361 0.5000
Ir 0.8639 0.6361 0.5000
```

## Properties
The calculated formation energy comes out at -0.54 eV/atom. The value obtained for the volume is 579.8 Å³/cell.